A relaxed TiHg2WSe crystal, computed with PBE-GGA.

Output
Size of the total moment ... 0.00 μB per formula unit
E_form (uncorrected) ... 1.03 eV/atom

a b c (Å): 5.322 4.667 5.322
angles (deg): 90.00 90.00 90.00
Sites, in units of the cell vectors:
Se (0.500, 0.500, 0.500)
Hg (0.000, 0.000, 0.500)
Hg (0.500, 0.000, 0.000)
W (0.000, 0.000, 0.000)
Ti (0.000, 0.500, 0.000)